! Dy2AlAu3, optimized geometry, DFT PBE; values from VASP
&SYSTEM
  ibrav = 0, nat = 12, ntyp = 3
/
ATOMIC_SPECIES
Au 196.97 Au.upf
Dy 162.50 Dy.upf
Al 26.98 Al.upf
CELL_PARAMETERS angstrom
5.7300 -0.7354 0.0000
-0.9574 5.6972 0.0000
-2.3863 -2.4809 8.0479
ATOMIC_POSITIONS angstrom
Au 0.8031 4.0038 1.3978
Au -1.5832 1.5229 6.6501
Au 3.9696 0.9580 1.3978
Au 1.5832 -1.5229 6.6501
Au 2.3863 2.4809 5.2506
Au 0.0000 0.0000 2.7973
Dy 1.1619 1.2079 0.0000
Dy 3.6108 3.7538 0.0000
Dy 2.8650 -0.3677 4.0240
Dy -0.4787 2.8486 4.0240
Al 2.3863 2.4809 2.6877
Al 0.0000 0.0000 5.3602
! formation enthalpy at 0 K	-781.2	meV per atom

---

! OsRh2Br, optimized geometry, DFT PBE; values from VASP
&SYSTEM
  ibrav = 0, nat = 4, ntyp = 3
/
ATOMIC_SPECIES
Rh 102.91 Rh.upf
Os 190.23 Os.upf
Br 79.90 Br.upf
CELL_PARAMETERS angstrom
4.7201 -0.0001 0.0000
1.1769 4.5710 0.0000
-2.9485 -2.2854 2.8918
ATOMIC_POSITIONS angstrom
Rh 2.9485 2.2854 0.0000
Rh 0.0000 0.0000 0.0000
Os 2.3601 -0.0001 1.4459
Br 0.5885 2.2855 1.4459
! ΔE to the lowest computed polymorph	527	meV/atom
! E_form (uncorrected)	997.5	meV per atom

---

! Nd2TiSi3Pt4, optimized geometry, DFT PBE; values from VASP
&SYSTEM
  ibrav = 0, nat = 10, ntyp = 4
/
ATOMIC_SPECIES
Si 28.09 Si.upf
Pt 195.08 Pt.upf
Ti 47.87 Ti.upf
Nd 144.24 Nd.upf
CELL_PARAMETERS angstrom
-0.1683 -3.5659 2.3819
4.2728 0.0627 0.3959
-0.8509 5.5835 8.2986
ATOMIC_POSITIONS angstrom
Si 2.0283 0.7409 1.2526
Si -0.4255 2.7917 4.1493
Si -0.8269 3.0910 8.4349
Pt 1.8257 2.0702 3.2282
Pt 2.0522 -1.7516 1.3889
Pt 0.0000 0.0000 0.0000
Pt -0.6244 1.7617 6.4593
Ti 1.6268 1.0402 5.5382
Nd 1.4964 4.2312 6.4400
Nd -0.2950 -0.3993 3.2475
! E_form (uncorrected)	-1080.4	meV per atom

---

! La8CdPt2, optimized geometry, DFT PBE; values from VASP
&SYSTEM
  ibrav = 0, nat = 11, ntyp = 3
/
ATOMIC_SPECIES
La 138.91 La.upf
Pt 195.08 Pt.upf
Cd 112.41 Cd.upf
CELL_PARAMETERS angstrom
6.5650 -0.3517 -0.2923
-0.4121 8.2866 2.2208
-0.4121 3.6983 7.7410
ATOMIC_POSITIONS angstrom
La 5.6069 2.1363 1.7757
La 5.2784 6.6656 5.5403
La 3.7379 5.4765 2.2077
La 3.7379 3.1717 4.9806
La 0.4624 4.9677 4.1291
La 2.0029 6.1568 7.4617
La 2.0029 8.4616 4.6889
La 0.1340 9.4970 7.8937
Pt 3.7133 8.5552 7.1109
Pt 2.0275 3.0781 2.5585
Cd 0.0000 0.0000 0.0000
! formation enthalpy at 0 K	-441.2	meV per atom

---

! Rb2NaRh, optimized geometry, DFT PBE; values from VASP
&SYSTEM
  ibrav = 0, nat = 4, ntyp = 3
/
ATOMIC_SPECIES
Rb 85.47 Rb.upf
Rh 102.91 Rh.upf
Na 22.99 Na.upf
CELL_PARAMETERS angstrom
-3.7341 -4.1392 -1.8128
-5.4281 -0.2186 2.2023
-4.5840 1.4527 -3.3526
ATOMIC_POSITIONS angstrom
Rb -3.4365 -0.7263 -0.7408
Rb -10.3096 -2.1789 -2.2223
Rh -6.8731 -1.4526 -1.4815
Na 0.0000 0.0000 0.0000
! ΔE to the lowest computed polymorph	67	meV/atom
! formation enthalpy at 0 K	644.2	meV per atom

---

! RePtCl2, optimized geometry, DFT PBE; values from VASP
&SYSTEM
  ibrav = 0, nat = 4, ntyp = 3
/
ATOMIC_SPECIES
Pt 195.08 Pt.upf
Re 186.21 Re.upf
Cl 35.45 Cl.upf
CELL_PARAMETERS angstrom
4.5533 -0.0081 0.0000
-0.0021 4.5533 0.0000
-2.2756 -2.2726 3.2233
ATOMIC_POSITIONS angstrom
Pt 2.2756 2.2726 0.0000
Re 2.2767 -0.0041 1.6116
Cl -0.0010 2.2767 1.6116
Cl 0.0000 0.0000 0.0000
! ΔE to the lowest computed polymorph	1032	meV/atom
! E_form (uncorrected)	1051.6	meV per atom